The following is a DFT calculation (PBE with a Hubbard U) of a relaxed KHfMoO6 crystal.

Output
Symmetry: No. 5
DFT total energy in eV per atom: -7.410

Cell lengths 5.5800, 5.5800, 5.7503 Å; angles 90.97, 89.03, 59.30 degrees
With the nearest neighbours (Å) after each atom.
Element x y z (fractional)
O 0.5937 0.0100 0.3021  1 Mo 1.95, 1 Hf 2.03
O 0.4026 0.5831 0.3343  1 Mo 2.01, 1 Hf 2.12, 1 O 2.18
O 0.3856 0.0291 0.7011  1 Mo 1.88, 1 Hf 2.10
O 0.0290 0.3857 0.2989  1 Mo 1.88, 1 Hf 2.10
O 0.0100 0.5937 0.6979  1 Mo 1.95, 1 Hf 2.03
O 0.5831 0.4027 0.6657  1 Mo 2.01, 1 Hf 2.12, 1 O 2.18
Hf 0.6798 0.6798 0.5000  6 O 2.03-2.12
K 0.9977 0.9977 0.0000  6 O 2.79-3.02
Mo 0.3182 0.3183 0.5000  6 O 1.88-2.01